1.
BeIrWAu PBE optimized geometry; electronic total energy = -6.8084 eV per atom
1.0
0.0000 3.0682 3.0682
3.0682 0.0000 3.0682
3.0682 3.0682 0.0000
Be Ir W Au
1 1 1 1
Direct
0.0000 0.0000 0.0000 Be
0.2500 0.2500 0.2500 Ir
0.7500 0.7500 0.7500 W
0.5000 0.5000 0.5000 Au

***

2.
BeIrWAu PBE optimized geometry; electronic total energy = -6.9176 eV per atom
1.0
0.0000 3.1013 3.1013
3.1013 0.0000 3.1013
3.1013 3.1013 0.0000
Be Ir W Au
1 1 1 1
Direct
0.0000 0.0000 0.0000 Be
0.7500 0.7500 0.7500 Ir
0.5000 0.5000 0.5000 W
0.2500 0.2500 0.2500 Au

***

3.
BeIrWAu PBE optimized geometry; electronic total energy = -6.9813 eV per atom
1.0
0.0000 3.0790 3.0790
3.0790 0.0000 3.0790
3.0790 3.0790 0.0000
Be Ir W Au
1 1 1 1
Direct
0.0000 0.0000 0.0000 Be
0.5000 0.5000 0.5000 Ir
0.2500 0.2500 0.2500 W
0.7500 0.7500 0.7500 Au

***

4.
KBeSiAu PBE optimized geometry; electronic total energy = -2.6494 eV per atom
1.0
0.0000 3.3856 3.3856
3.3856 0.0000 3.3856
3.3856 3.3856 0.0000
K Be Si Au
1 1 1 1
Direct
0.0000 0.0000 0.0000 K
0.5000 0.5000 0.5000 Be
0.2500 0.2500 0.2500 Si
0.7500 0.7500 0.7500 Au

***

5.
KBeSiAu PBE optimized geometry; electronic total energy = -2.7674 eV per atom
1.0
0.0000 3.2957 3.2957
3.2957 0.0000 3.2957
3.2957 3.2957 0.0000
K Be Si Au
1 1 1 1
Direct
0.0000 0.0000 0.0000 K
0.7500 0.7500 0.7500 Be
0.2500 0.2500 0.2500 Si
0.5000 0.5000 0.5000 Au

***

6.
KBeSnAu PBE optimized geometry; electronic total energy = -2.5447 eV per atom
1.0
0.0000 3.5376 3.5376
3.5376 0.0000 3.5376
3.5376 3.5376 0.0000
K Be Sn Au
1 1 1 1
Direct
0.0000 0.0000 0.0000 K
0.5000 0.5000 0.5000 Be
0.2500 0.2500 0.2500 Sn
0.7500 0.7500 0.7500 Au

***

7.
KBeSnAu PBE optimized geometry; electronic total energy = -2.6471 eV per atom
1.0
0.0000 3.5439 3.5439
3.5439 0.0000 3.5439
3.5439 3.5439 0.0000
K Be Sn Au
1 1 1 1
Direct
0.0000 0.0000 0.0000 K
0.2500 0.2500 0.2500 Be
0.5000 0.5000 0.5000 Sn
0.7500 0.7500 0.7500 Au

***

8.
KZrBeAu PBE optimized geometry; electronic total energy = -3.6433 eV per atom
1.0
0.0000 3.3586 3.3586
3.3586 0.0000 3.3586
3.3586 3.3586 0.0000
K Zr Be Au
1 1 1 1
Direct
0.0000 0.0000 0.0000 K
0.2500 0.2500 0.2500 Zr
0.7500 0.7500 0.7500 Be
0.5000 0.5000 0.5000 Au

***

9.
KZrBeAu PBE optimized geometry; electronic total energy = -3.4294 eV per atom
1.0
0.0000 3.3846 3.3846
3.3846 0.0000 3.3846
3.3846 3.3846 0.0000
K Zr Be Au
1 1 1 1
Direct
0.0000 0.0000 0.0000 K
0.2500 0.2500 0.2500 Zr
0.5000 0.5000 0.5000 Be
0.7500 0.7500 0.7500 Au

***

10.
KZrBeAu PBE optimized geometry; electronic total energy = -3.5771 eV per atom
1.0
0.0000 3.5045 3.5045
3.5045 0.0000 3.5045
3.5045 3.5045 0.0000
K Zr Be Au
1 1 1 1
Direct
0.0000 0.0000 0.0000 K
0.5000 0.5000 0.5000 Zr
0.2500 0.2500 0.2500 Be
0.7500 0.7500 0.7500 Au

***

11.
LaBeAu PBE optimized geometry; electronic total energy = -4.0744 eV per atom
1.0
0.0000 3.2456 3.2456
3.2456 0.0000 3.2456
3.2456 3.2456 0.0000
La Be Au
1 1 1
Direct
0.0000 0.0000 0.0000 La
0.7500 0.7500 0.7500 Be
0.5000 0.5000 0.5000 Au

***

12.
LaBeAu PBE optimized geometry; electronic total energy = -3.6367 eV per atom
1.0
0.0000 3.4552 3.4552
3.4552 0.0000 3.4552
3.4552 3.4552 0.0000
La Be Au
1 1 1
Direct
0.0000 0.0000 0.0000 La
0.2500 0.2500 0.2500 Be
0.7500 0.7500 0.7500 Au

***

13.
LaBeAu PBE optimized geometry; electronic total energy = -4.0170 eV per atom
1.0
0.0000 3.3681 3.3681
3.3681 0.0000 3.3681
3.3681 3.3681 0.0000
La Be Au
1 1 1
Direct
0.0000 0.0000 0.0000 La
0.5000 0.5000 0.5000 Be
0.7500 0.7500 0.7500 Au

***

14.
La2BeSi2Au PBE optimized geometry; electronic total energy = -5.2661 eV per atom
1.0
4.1920 0.0000 0.0000
-2.0960 3.6304 0.0000
0.0000 0.0000 8.8139
La Be Si Au
2 1 2 1
Direct
0.0000 0.0000 0.2442 La
0.0000 0.0000 0.7558 La
0.6667 0.3333 0.0000 Be
0.3333 0.6667 0.0000 Si
0.6667 0.3333 0.5000 Si
0.3333 0.6667 0.5000 Au

***

15.
SrLaBeAu PBE optimized geometry; electronic total energy = -3.5627 eV per atom
1.0
0.0000 3.7458 3.7458
3.7458 0.0000 3.7458
3.7458 3.7458 0.0000
Sr La Be Au
1 1 1 1
Direct
0.0000 0.0000 0.0000 Sr
0.5000 0.5000 0.5000 La
0.7500 0.7500 0.7500 Be
0.2500 0.2500 0.2500 Au

***

16.
LiBe6Au6 PBE optimized geometry; electronic total energy = -3.5935 eV per atom
1.0
-2.4244 4.1757 4.2555
2.4244 -4.1757 4.2555
2.4244 4.1757 -4.2555
Li Be Au
1 6 6
Direct
0.0000 0.0000 0.0000 Li
0.0000 0.0000 0.5000 Be
0.0000 0.5000 0.0000 Be
0.2394 0.5000 0.7393 Be
0.5000 0.0000 0.0000 Be
0.5000 0.5000 0.5000 Be
0.7607 0.5000 0.2606 Be
0.1673 0.6673 0.5000 Au
0.3225 0.0000 0.3225 Au
0.3350 0.3350 0.0000 Au
0.6650 0.6650 0.0000 Au
0.6775 0.0000 0.6775 Au
0.8327 0.3327 0.5000 Au

***

17.
LiBe2Au PBE optimized geometry; electronic total energy = -3.2525 eV per atom
1.0
0.0000 2.8324 2.8324
2.8324 0.0000 2.8324
2.8324 2.8324 0.0000
Li Be Au
1 2 1
Direct
0.0000 0.0000 0.0000 Li
0.5000 0.5000 0.5000 Be
0.7500 0.7500 0.7500 Be
0.2500 0.2500 0.2500 Au

***

18.
Li2BeAu PBE optimized geometry; electronic total energy = -2.9731 eV per atom
1.0
0.0000 2.9272 2.9272
2.9272 0.0000 2.9272
2.9272 2.9272 0.0000
Li Be Au
2 1 1
Direct
0.0000 0.0000 0.0000 Li
0.2500 0.2500 0.2500 Li
0.5000 0.5000 0.5000 Be
0.7500 0.7500 0.7500 Au

***

19.
LuBe2Au PBE optimized geometry; electronic total energy = -3.8777 eV per atom
1.0
0.0000 3.1625 3.1625
3.1625 0.0000 3.1625
3.1625 3.1625 0.0000
Lu Be Au
1 2 1
Direct
0.0000 0.0000 0.0000 Lu
0.5000 0.5000 0.5000 Be
0.7500 0.7500 0.7500 Be
0.2500 0.2500 0.2500 Au

***

20.
LuMgBeAu PBE optimized geometry; electronic total energy = -3.4297 eV per atom
1.0
0.0000 3.2495 3.2495
3.2495 0.0000 3.2495
3.2495 3.2495 0.0000
Lu Mg Be Au
1 1 1 1
Direct
0.0000 0.0000 0.0000 Lu
0.2500 0.2500 0.2500 Mg
0.7500 0.7500 0.7500 Be
0.5000 0.5000 0.5000 Au

***

21.
LuMgBeAu PBE optimized geometry; electronic total energy = -3.5788 eV per atom
1.0
0.0000 3.3253 3.3253
3.3253 0.0000 3.3253
3.3253 3.3253 0.0000
Lu Mg Be Au
1 1 1 1
Direct
0.0000 0.0000 0.0000 Lu
0.5000 0.5000 0.5000 Mg
0.2500 0.2500 0.2500 Be
0.7500 0.7500 0.7500 Au

***

22.
LuMgBeAu PBE optimized geometry; electronic total energy = -3.4329 eV per atom
1.0
0.0000 3.2919 3.2919
3.2919 0.0000 3.2919
3.2919 3.2919 0.0000
Lu Mg Be Au
1 1 1 1
Direct
0.0000 0.0000 0.0000 Lu
0.2500 0.2500 0.2500 Mg
0.5000 0.5000 0.5000 Be
0.7500 0.7500 0.7500 Au

***

23.
LuBeZnAu PBE optimized geometry; electronic total energy = -3.4385 eV per atom
1.0
0.0000 3.2423 3.2423
3.2423 0.0000 3.2423
3.2423 3.2423 0.0000
Lu Be Zn Au
1 1 1 1
Direct
0.0000 0.0000 0.0000 Lu
0.2500 0.2500 0.2500 Be
0.5000 0.5000 0.5000 Zn
0.7500 0.7500 0.7500 Au

***

24.
LuBeZnAu PBE optimized geometry; electronic total energy = -3.4691 eV per atom
1.0
0.0000 3.1779 3.1779
3.1779 0.0000 3.1779
3.1779 3.1779 0.0000
Lu Be Zn Au
1 1 1 1
Direct
0.0000 0.0000 0.0000 Lu
0.7500 0.7500 0.7500 Be
0.2500 0.2500 0.2500 Zn
0.5000 0.5000 0.5000 Au

***

25.
LuBeZnAu PBE optimized geometry; electronic total energy = -3.4578 eV per atom
1.0
0.0000 3.2429 3.2429
3.2429 0.0000 3.2429
3.2429 3.2429 0.0000
Lu Be Zn Au
1 1 1 1
Direct
0.0000 0.0000 0.0000 Lu
0.5000 0.5000 0.5000 Be
0.2500 0.2500 0.2500 Zn
0.7500 0.7500 0.7500 Au

***

26.
MgBe2Au2 PBE optimized geometry; electronic total energy = -3.3738 eV per atom
1.0
-1.7467 1.7467 6.0858
1.7467 -1.7467 6.0858
1.7467 1.7467 -6.0858
Mg Be Au
1 2 2
Direct
0.0000 0.0000 0.0000 Mg
0.2500 0.7500 0.5000 Be
0.7500 0.2500 0.5000 Be
0.3818 0.3818 0.0000 Au
0.6182 0.6182 0.0000 Au

***

27.
MgBeAu PBE optimized geometry; electronic total energy = -2.8862 eV per atom
1.0
0.0000 2.9965 2.9965
2.9965 0.0000 2.9965
2.9965 2.9965 0.0000
Mg Be Au
1 1 1
Direct
0.0000 0.0000 0.0000 Mg
0.5000 0.5000 0.5000 Be
0.7500 0.7500 0.7500 Au

***

28.
Mg2BeAu PBE optimized geometry; electronic total energy = -2.6352 eV per atom
1.0
0.0000 3.1577 3.1577
3.1577 0.0000 3.1577
3.1577 3.1577 0.0000
Mg Be Au
2 1 1
Direct
0.0000 0.0000 0.0000 Mg
0.2500 0.2500 0.2500 Mg
0.5000 0.5000 0.5000 Be
0.7500 0.7500 0.7500 Au

***

29.
MgBeTlAu PBE optimized geometry; electronic total energy = -2.5790 eV per atom
1.0
0.0000 3.2994 3.2994
3.2994 0.0000 3.2994
3.2994 3.2994 0.0000
Mg Be Tl Au
1 1 1 1
Direct
0.0000 0.0000 0.0000 Mg
0.5000 0.5000 0.5000 Be
0.7500 0.7500 0.7500 Tl
0.2500 0.2500 0.2500 Au

***

30.
YMgBeAu PBE optimized geometry; electronic total energy = -4.0647 eV per atom
1.0
0.0000 3.3756 3.3756
3.3756 0.0000 3.3756
3.3756 3.3756 0.0000
Y Mg Be Au
1 1 1 1
Direct
0.0000 0.0000 0.0000 Y
0.5000 0.5000 0.5000 Mg
0.7500 0.7500 0.7500 Be
0.2500 0.2500 0.2500 Au